An optimized crystal structure of LiZn2O2. Source: the Alexandria database, functional GGA-PBE.

Results
SG: Immm (71)
ΔE to the lowest computed polymorph, eV per atom: 0.000
Formation energy from raw total energies, meV/atom: -1205

a = 5.9448 Å, b = 5.9448 Å, c = 5.9448 Å
α = 134.96°, β = 120.20°, γ = 77.89°
Last column: nearest neighbours and their distance in Å.
Element x y z (fractional)
Li 0.1306 0.1306 0.0000  2 O 1.93
Li 0.8694 0.8694 0.0000  2 O 1.93
Zn 0.2650 0.5000 0.7650  4 O 2.10-2.28
Zn 0.3530 0.8530 0.5000  3 O 1.87-2.00
Zn 0.6470 0.1470 0.5000  3 O 1.87-2.00
Zn 0.7350 0.5000 0.2350  4 O 2.10-2.28
O 0.1512 0.6512 0.5000  1 Zn 1.87
O 0.2533 0.0000 0.2533  2 Li 1.93, 2 Zn 2.00
O 0.7467 0.0000 0.7467  2 Li 1.93, 2 Zn 2.00
O 0.8488 0.3488 0.5000  1 Zn 1.87